# 1
Density functional theory data (GGA-PBE) for crystalline SrAlHg2 at its relaxed geometry.

Results
ρ in g/cm3: 6.8
Space group: I-42d (122)
Energy in eV/atom: -1.6322
Magnetization in μB/atom: 0.0000

Cell and atoms, written as POSCAR:
```
SrAlHg2
1.0
5.296 0.000 0.000
0.000 5.296 0.000
2.648 2.648 9.007
Hg Sr Al
4 2 2
Direct
0.375 0.501 0.750
0.875 0.749 0.750
0.499 0.125 0.250
0.251 0.625 0.250
0.750 0.250 0.500
0.000 0.000 0.000
0.250 0.750 0.500
0.500 0.500 0.000
```

# 2
Density functional theory data (GGA-PBE) for crystalline TbErP2 at its relaxed geometry.

Results
ρ in g/cm3: 7.1
Relative energy among the computed polymorphs in meV per atom: 0
Space group: R-3m (166)
Magnetization in μB/atom: 0.0000

Cell and atoms, written as POSCAR:
```
TbErP2
1.0
-0.630 3.295 -2.179
-3.502 0.528 -1.860
-3.723 4.317 3.927
Tb Er P
1 1 2
Direct
0.000 0.000 0.000
0.500 0.500 0.500
0.249 0.249 0.254
0.751 0.751 0.746
```

# 3
Density functional theory data (GGA-PBE) for crystalline VMoBr2 at its relaxed geometry.

Results
ρ in g/cm3: 7.3
Relative energy among the computed polymorphs in meV per atom: 281
Space group: Fm-3m (225)
Formation energy (no corrections) in eV/atom: 0.781
Magnetization in μB/atom: 0.5405

Cell and atoms, written as POSCAR:
```
VMoBr2
1.0
0.000 3.270 3.270
3.270 0.000 3.270
3.270 3.270 0.000
Br Mo V
2 1 1
Direct
0.750 0.750 0.750
0.250 0.250 0.250
0.500 0.500 0.500
0.000 0.000 0.000
```

# 4
Density functional theory data (GGA-PBE) for crystalline MgCuRh2N at its relaxed geometry.

Results
ρ in g/cm3: 7.8
Space group: P4/mmm (123)
Formation energy (no corrections) in eV/atom: -0.081
Magnetization in μB/atom: 0.0002

Cell and atoms, written as POSCAR:
```
MgCuRh2N
1.0
4.095 0.000 0.000
0.000 4.095 0.000
0.000 0.000 3.913
Cu N Rh Mg
1 1 2 1
Direct
0.000 0.000 0.500
0.000 0.000 0.000
0.000 0.500 0.000
0.500 0.000 0.000
0.500 0.500 0.500
```

# 5
Density functional theory data (GGA-PBE) for crystalline LaPa2Ir2 at its relaxed geometry.

Results
ρ in g/cm3: 13.1
Space group: I4/mmm (139)
Energy in eV/atom: -8.9087
Magnetization in μB/atom: 0.0001

Cell and atoms, written as POSCAR:
```
LaPa2Ir2
1.0
5.079 0.000 0.000
0.000 5.079 0.000
-2.540 -2.540 4.856
Pa Ir La
2 2 1
Direct
0.750 0.250 0.500
0.250 0.750 0.500
0.361 0.361 0.722
0.639 0.639 0.278
0.000 0.000 0.000
```

# 6
Density functional theory data (GGA-PBE) for crystalline Th2AlRh4 at its relaxed geometry.

Results
ρ in g/cm3: 10.1
Space group: P-1 (2)
Energy in eV/atom: -7.5871
Magnetization in μB/atom: 0.0000

Cell and atoms, written as POSCAR:
```
Th2AlRh4
1.0
4.603 -0.714 -1.353
-0.858 4.670 -0.366
-0.622 0.949 7.156
Al Rh Th
1 4 2
Direct
0.000 0.000 0.000
0.000 0.500 0.000
0.057 0.176 0.350
0.500 0.000 0.000
0.943 0.824 0.650
0.360 0.483 0.718
0.640 0.517 0.282
```

What did the second record say?
Density functional theory data (GGA-PBE) for crystalline TbErP2 at its relaxed geometry.

Results
ρ in g/cm3: 7.1
Relative energy among the computed polymorphs in meV per atom: 0
Space group: R-3m (166)
Magnetization in μB/atom: 0.0000

Cell and atoms, written as POSCAR:
```
TbErP2
1.0
-0.630 3.295 -2.179
-3.502 0.528 -1.860
-3.723 4.317 3.927
Tb Er P
1 1 2
Direct
0.000 0.000 0.000
0.500 0.500 0.500
0.249 0.249 0.254
0.751 0.751 0.746
```